SCAN K2ScP, PBEsol geometry; formation energy from the elements = -0.197 eV per atom; calculated density = 1.4 g/cm³; DOS(E_F) = 2.8 states/eV/f.u.; symmetry = Cmmm, No. 65
1.0
-4.091 -1.447 1.832
-1.851 -0.536 -4.557
3.467 -7.130 2.113
P K Sc
1 2 1
direct
0.500 0.000 0.500 P
0.000 0.136 0.771 K
0.000 0.864 0.229 K
0.500 0.500 0.500 Sc

***

SCAN K2Au, PBEsol geometry; formation energy from the elements = -0.250 eV per atom; calculated density = 3.8 g/cm³; DOS(E_F) = 1.6 states/eV/f.u.; symmetry = Cmc2_1, No. 36
1.0
4.087 0.000 0.000
-2.043 7.576 0.000
0.000 0.000 7.850
K Au
4 2
direct
0.485 0.971 0.302 K
0.771 0.542 0.950 K
0.515 0.029 0.802 K
0.229 0.458 0.450 K
0.114 0.228 0.081 Au
0.886 0.772 0.581 Au